Record 1
The following is a GGA-PBE calculation of a relaxed structure of NpGa, from the Open Quantum Materials Database.

Cell: 2.817 2.817 5.288 Å, 90.00 90.00 120.00°
Atoms (fractional coordinates):
Np 0.000 0.000 0.000
Ga 0.333 0.667 0.500

## Properties
The value obtained for the total energy is -8.03 eV/atom.

Record 2
The following is a GGA-PBE calculation of a relaxed structure of NpGa, from the Open Quantum Materials Database.

Cell: 6.468 6.468 6.468 Å, 90.00 90.00 90.00°
Atoms (fractional coordinates):
Np 0.000 0.000 0.000
Np 0.000 0.500 0.500
Np 0.500 0.000 0.500
Np 0.500 0.500 0.000
Ga 0.250 0.250 0.250
Ga 0.250 0.750 0.750
Ga 0.750 0.250 0.750
Ga 0.750 0.750 0.250

## Properties
The value obtained for the total energy is -6.55 eV/atom.